{"formula": "MgNiAs2Br", "functional": "GGA-PBEsol", "state": "relaxed", "polymorph_energy_ev_per_atom": 0.780, "magnetic_moment_mub_per_cell": 0.471, "crystal_system": "tetragonal", "formation_energy_uncorrected_ev_per_atom": 0.938, "final_energy_ev_per_fu": -15.3, "lattice_angstrom": [[-0.355, -3.260, 3.631], [-3.221, -2.578, -2.630], [3.712, -2.613, -1.984]], "species": ["As", "As", "Ni", "Br", "Mg"], "fractional_positions": [[0.500, 0.000, 0.000], [0.000, 0.500, 0.000], [0.500, 0.500, 0.500], [0.000, 0.000, 0.500], [0.000, 0.000, 0.000]]}